Entry 1:
DFT (PBE-GGA) results for a relaxed structure of BeCo2Os.

Structure (extended XYZ):
```
4
Lattice="-3.200 1.412 1.293 -1.188 -2.211 -0.524 0.434 -2.659 3.978" Properties=species:S:1:pos:R:3 pbc="T T T"
Co -0.535 -4.446 3.532
Co -1.727 -0.351 1.486
Be -2.395 -3.355 3.114
Os -0.426 -2.610 1.796
```

Values from the calculation:
DFT total energy ... -28.9 eV/cell

***

Entry 2:
DFT (PBE-GGA) results for a relaxed structure of AcPm2PuO8.

Structure (extended XYZ):
```
12
Lattice="-1.625 -1.443 3.535 -4.141 -1.703 -3.318 3.618 -6.703 -1.069" Properties=species:S:1:pos:R:3 pbc="T T T"
O -0.387 -6.678 -3.202
O 0.336 -7.073 1.726
O -2.028 -5.309 -1.259
O -0.119 -4.541 0.407
O -4.208 -2.183 -0.550
O -2.483 -2.776 -2.578
O 2.060 -7.666 -0.302
O -1.761 -3.171 2.350
Ac 1.809 -3.352 -0.535
Pm -0.180 -6.576 -0.688
Pm -1.968 -3.274 -0.163
Pu 0.000 0.000 0.000
```

Values from the calculation:
E_form (uncorrected) ... -3.003 eV per atom

***

Entry 3:
DFT (PBE-GGA) results for a relaxed structure of AcTbNd2Dy5.

Structure (extended XYZ):
```
18
Lattice="-3.307 -4.659 6.765 -6.132 -3.453 -5.375 9.551 -1.860 -2.407" Properties=species:S:1:pos:R:3 pbc="T T T"
Ac 2.416 -2.958 -0.856
Ac -2.304 -7.013 -0.161
Nd -6.681 -4.833 -2.155
Nd -2.736 -1.867 -1.267
Nd -6.704 -6.244 2.658
Nd -2.758 -3.278 3.545
Dy -4.720 -4.056 0.695
Dy -3.135 -6.284 3.334
Dy 3.246 -3.687 -4.351
Dy 0.000 0.000 0.000
Dy -5.914 -7.607 0.061
Dy -0.950 -3.656 0.417
Dy 3.841 -4.992 1.840
Dy 6.026 -2.364 -1.078
Dy 1.062 -6.315 -1.433
Dy -3.730 -4.979 -2.856
Tb -0.650 -4.684 -3.543
Tb 0.762 -5.287 2.527
```

Values from the calculation:
DFT total energy ... -78.0 eV/cell